Entry 1:
The following is a DFT calculation (PBE) of a relaxed structure of SiPdRu3.

Cell: 4.351 4.351 4.351 Å, 90.00 90.00 90.00°
Positions (direct):
Pd  0.500  0.500  0.500
Si  0.000  0.000  0.000
Ru  0.000  0.000  0.500
Ru  0.500  0.000  0.000
Ru  0.000  0.500  0.000

Computed properties:
Its raw formation energy is 393 kJ/mol of formula units. Its energy relative to the lowest polymorph listed for this composition is 0.0 meV per atom. The calculation puts the size of the total moment at 0.1326 μB/atom.

---

Entry 2:
The following is a DFT calculation (PBE) of a relaxed structure of RbBe2Ru.

Cell: 5.835 5.835 7.411 Å, 66.82 66.82 90.00°
Positions (direct):
Be  0.875  0.125  0.750
Be  0.375  0.125  0.750
Be  0.875  0.625  0.250
Be  0.875  0.125  0.250
Ru  0.750  0.250  0.500
Ru  0.000  0.000  0.000
Rb  0.250  0.750  0.500
Rb  0.500  0.500  0.000

Computed properties:
The calculation puts the size of the total moment at 0.0000 μB/atom. Its formation energy is 0.819 eV/atom.

---

Entry 3:
The following is a DFT calculation (PBE) of a relaxed structure of Al2HgSe4.

Cell: 7.777 7.777 7.777 Å, 60.00 60.00 60.00°
Positions (direct):
Se  0.235  0.235  0.735
Se  0.765  0.765  0.706
Se  0.765  0.765  0.265
Se  0.206  0.765  0.265
Se  0.765  0.206  0.265
Se  0.235  0.235  0.294
Se  0.235  0.794  0.735
Se  0.794  0.235  0.735
Al  0.000  0.000  0.500
Al  0.000  0.000  0.000
Al  0.500  0.000  0.500
Al  0.000  0.500  0.500
Hg  0.625  0.625  0.125
Hg  0.375  0.375  0.875

Computed properties:
Its raw formation energy is -441 kJ/mol of formula units. Its energy relative to the lowest polymorph listed for this composition is 42.3 meV per atom. The calculation puts the size of the total moment at 0.0000 μB/atom.

---

Entry 4:
The following is a DFT calculation (PBE) of a relaxed structure of KAsO2F.

Cell: 3.856 3.856 4.468 Å, 90.00 90.00 90.00°
Positions (direct):
K  0.500  0.500  0.500
As  0.000  0.000  0.000
F  0.000  0.000  0.500
O  0.000  0.500  0.000
O  0.500  0.000  0.000

Computed properties:
Its raw formation energy is -733 kJ/mol of formula units. The calculation puts the size of the total moment at 0.0000 μB/atom.

---

Entry 5:
The following is a DFT calculation (PBE) of a relaxed structure of Be4Tl5As4.

Cell: 3.868 8.910 8.910 Å, 87.30 77.46 77.46°
Positions (direct):
As  0.322  0.625  0.731
As  0.678  0.375  0.269
As  0.947  0.731  0.375
As  0.053  0.269  0.625
Be  0.476  0.612  0.436
Be  0.912  0.564  0.612
Be  0.088  0.436  0.388
Be  0.524  0.388  0.564
Tl  0.630  0.669  0.071
Tl  0.299  0.071  0.331
Tl  0.370  0.331  0.929
Tl  0.000  0.000  0.000
Tl  0.701  0.929  0.669

Computed properties:
The calculation puts the size of the total moment at 0.0000 μB/atom. Its formation energy is 0.005 eV/atom.